No. 1
Density functional theory data (PBE) for ZnSbPb after structural relaxation.

calculated volume = 164.36 Å³/cell
formation energy (no corrections) = 83 meV/atom

Unit cell a=4.254 b=4.281 c=9.272 alpha=90.00 beta=103.26 gamma=90.00
Element x y z (fractional)
Sb  0.354  0.750  0.708
Sb  0.646  0.250  0.292
Pb  0.926  0.250  0.852
Pb  0.074  0.750  0.148
Zn  0.249  0.250  0.499
Zn  0.751  0.750  0.501

No. 2
Density functional theory data (PBE) for ZnSbPb3 after structural relaxation.

calculated volume = 156.66 Å³/cell
formation energy (no corrections) = 317 meV/atom
E above lowest polymorph = 0.0 meV/atom

Unit cell a=5.391 b=5.391 c=5.391 alpha=90.00 beta=90.00 gamma=90.00
Element x y z (fractional)
Pb  0.000  0.000  0.500
Pb  0.000  0.500  0.000
Pb  0.500  0.000  0.000
Zn  0.000  0.000  0.000
Sb  0.500  0.500  0.500

No. 3
Density functional theory data (PBE) for Zn2SbPb after structural relaxation.

calculated volume = 95.04 Å³/cell
formation energy (no corrections) = 184 meV/atom
E above lowest polymorph = 86.1 meV/atom

Unit cell a=6.210 b=6.210 c=6.210 alpha=140.76 beta=140.76 gamma=56.70
Element x y z (fractional)
Pb  0.500  0.500  0.000
Zn  0.000  0.000  0.000
Zn  0.250  0.750  0.500
Sb  0.750  0.250  0.500

No. 4
Density functional theory data (PBE) for ZnSb2Pb2 after structural relaxation.

calculated volume = 296.46 Å³/cell
formation energy (no corrections) = 104 meV/atom
E above lowest polymorph = 109.0 meV/atom

Unit cell a=7.083 b=7.083 c=5.910 alpha=90.00 beta=90.00 gamma=90.00
Element x y z (fractional)
Zn  0.000  0.000  0.000
Zn  0.500  0.500  0.000
Pb  0.220  0.720  0.500
Pb  0.280  0.220  0.500
Pb  0.780  0.280  0.500
Pb  0.720  0.780  0.500
Sb  0.644  0.144  0.000
Sb  0.356  0.856  0.000
Sb  0.856  0.644  0.000
Sb  0.144  0.356  0.000

No. 5
Density functional theory data (PBE) for ZnSbPb after structural relaxation.

calculated volume = 83.95 Å³/cell
formation energy (no corrections) = 110 meV/atom

Unit cell a=4.915 b=4.915 c=4.915 alpha=60.00 beta=60.00 gamma=60.00
Element x y z (fractional)
Zn  0.750  0.750  0.750
Sb  0.500  0.500  0.500
Pb  0.000  0.000  0.000

No. 6
Density functional theory data (PBE) for Zn3Sb3Pb after structural relaxation.

calculated volume = 419.63 Å³/cell
formation energy (no corrections) = 251 meV/atom
E above lowest polymorph = 230.7 meV/atom

Unit cell a=7.487 b=7.487 c=7.487 alpha=90.00 beta=90.00 gamma=90.00
Element x y z (fractional)
Sb  0.750  0.000  0.500
Sb  0.500  0.250  0.000
Sb  0.500  0.750  0.000
Sb  0.000  0.500  0.750
Sb  0.250  0.000  0.500
Sb  0.000  0.500  0.250
Zn  0.500  0.000  0.250
Zn  0.750  0.500  0.000
Zn  0.250  0.500  0.000
Zn  0.500  0.000  0.750
Zn  0.000  0.250  0.500
Zn  0.000  0.750  0.500
Pb  0.000  0.000  0.000
Pb  0.500  0.500  0.500

No. 7
Density functional theory data (PBE) for Zn2SbPb after structural relaxation.

calculated volume = 94.19 Å³/cell
formation energy (no corrections) = 192 meV/atom
E above lowest polymorph = 94.7 meV/atom

Unit cell a=7.017 b=5.078 c=3.752 alpha=83.20 beta=68.69 gamma=123.82
Element x y z (fractional)
Zn  0.500  0.000  0.500
Zn  0.000  0.000  0.000
Pb  0.000  0.500  0.500
Sb  0.500  0.500  0.000

No. 8
Density functional theory data (PBE) for Zn2SbPb after structural relaxation.

calculated volume = 96.58 Å³/cell
formation energy (no corrections) = 103 meV/atom
E above lowest polymorph = 5.3 meV/atom

Unit cell a=3.316 b=3.823 c=7.618 alpha=90.00 beta=90.00 gamma=90.00
Element x y z (fractional)
Zn  0.000  0.000  0.032
Zn  0.500  0.500  0.199
Sb  0.500  0.500  0.834
Pb  0.000  0.000  0.435

Number 1: spin magnetization 0.00 μB/f.u., raw total energy -2.95 eV per atom, D(E_F) 1.50 states/eV/f.u.. Number 2: spin magnetization 0.00 μB/f.u., raw total energy -2.99 eV per atom, D(E_F) 2.32 states/eV/f.u.. Number 3: spin magnetization 0.00 μB/f.u., raw total energy -2.41 eV per atom, D(E_F) 1.87 states/eV/f.u.. Number 4: spin magnetization 0.00 μB/f.u., raw total energy -3.28 eV per atom, D(E_F) 1.66 states/eV/f.u.. Number 5: spin magnetization 0.00 μB/f.u., raw total energy -2.92 eV per atom, D(E_F) 1.29 states/eV/f.u.. Number 6: spin magnetization 0.00 μB/f.u., raw total energy -2.59 eV per atom, D(E_F) 4.28 states/eV/f.u.. Number 7: spin magnetization 0.00 μB/f.u., raw total energy -2.40 eV per atom, D(E_F) 1.43 states/eV/f.u.. Number 8: spin magnetization 0.00 μB/f.u., raw total energy -2.49 eV per atom, D(E_F) 0.97 states/eV/f.u..